A relaxed structure of Tb2Dy3Tl4, computed with GGA-PBE.

abc: 7.1928 15.9504 9.3625
angles: 90.00 90.00 90.00
With the nearest neighbours (Å) after each atom.
Space group Cmce (No. 64)
Inequivalent atoms, fractional coordinates:
Tb 0.0000 0.1098 0.0668  3 Tl 3.21-3.31
Dy 0.0000 0.0000 0.5000  6 Tl 2.97-3.07
Dy 0.2500 0.2117 0.7500  5 Tl 3.09-3.25
Tl 0.0000 0.1915 0.4633  5 Dy 3.07-3.25, 1 Tb 3.31
Tl 0.2500 0.0179 0.7500  3 Dy 2.97-3.09, 2 Tb 3.21

Summary:
DOS at the Fermi energy, states/eV/cell: 24.84
DFT formation energy, eV/atom: -0.199
Calculated density, g/cm3: 10.04
Excess energy over the best structure of this formula in the dataset, meV/atom: 99
VASP energy, eV/atom: -3.814